(a)
Entry from the Alexandria database: an optimized crystal structure of GdDy2Zr (PBE). Values from VASP.

The structure in Quantum ESPRESSO input format:
```
&SYSTEM
  ibrav = 0, nat = 4, ntyp = 3
/
ATOMIC_SPECIES
Dy 162.50 Dy.upf
Zr 91.22 Zr.upf
Gd 157.25 Gd.upf
CELL_PARAMETERS angstrom
3.995 0.000 0.000
0.000 3.995 0.000
0.000 0.000 7.367
ATOMIC_POSITIONS angstrom
Dy 0.000 0.000 2.043
Dy 0.000 0.000 5.323
Zr 1.998 1.998 3.683
Gd 1.998 1.998 0.000
```

Calculated values
DOS(E_F): 2.112 states/eV per atom


(b)
Entry from the Alexandria database: an optimized crystal structure of GdDy2Zr (PBE). Values from VASP.

The structure in Quantum ESPRESSO input format:
```
&SYSTEM
  ibrav = 0, nat = 4, ntyp = 3
/
ATOMIC_SPECIES
Dy 162.50 Dy.upf
Gd 157.25 Gd.upf
Zr 91.22 Zr.upf
CELL_PARAMETERS angstrom
-0.943 0.783 -4.710
-0.509 -4.791 -0.694
-4.749 0.358 1.010
ATOMIC_POSITIONS angstrom
Dy -0.254 -2.396 -0.347
Dy -2.374 0.179 0.505
Gd -3.100 -1.825 -2.197
Zr -0.471 0.391 -2.355
```

Calculated values
DOS(E_F): 1.244 states/eV per atom


(c)
Entry from the Alexandria database: an optimized crystal structure of GdDy2Zr (PBE). Values from VASP.

The structure in Quantum ESPRESSO input format:
```
&SYSTEM
  ibrav = 0, nat = 4, ntyp = 3
/
ATOMIC_SPECIES
Dy 162.50 Dy.upf
Zr 91.22 Zr.upf
Gd 157.25 Gd.upf
CELL_PARAMETERS angstrom
5.508 0.000 0.000
2.754 4.770 0.000
2.754 1.590 4.497
ATOMIC_POSITIONS angstrom
Dy 8.262 4.770 3.373
Dy 2.754 1.590 1.124
Zr 5.508 3.180 2.249
Gd 0.000 0.000 0.000
```

Calculated values
DOS(E_F): 1.592 states/eV per atom


Which structure above is the least stable? It is (c).